Record 1
DFT (PBE) results for a geometry-optimized Ce2Nd3ErTe6 structure.

Lattice parameters (Å, degrees): 4.432 9.010 10.002 103.50 102.80 90.00
Each line ends with the local moment (μB).
Fractional positions:
Ce  0.832  0.664  0.665  0.95
Nd  0.831  0.166  0.662  0.01
Er  0.500  0.000  0.000  0.03
Te  0.001  0.761  0.001  0.00
Nd  0.169  0.834  0.338  0.01
Te  0.334  0.416  0.668  -0.01
Te  0.999  0.239  0.999  0.00
Ce  0.168  0.336  0.335  0.95
Te  0.338  0.918  0.676  -0.01
Te  0.662  0.082  0.324  -0.01
Te  0.666  0.584  0.332  -0.01
Nd  0.500  0.500  0.000  0.02

Calculated values
Total energy ... -5.5071 eV/atom
Density of states at the Fermi level ... 17.8 states/eV/f.u.

Record 2
DFT (PBE) results for a geometry-optimized Ce2NdErTe5 structure.

Lattice parameters (Å, degrees): 5.477 5.477 11.767 90.00 90.00 90.00
Each line ends with the local moment (μB).
Fractional positions:
Te  0.000  0.000  0.750  -0.01
Te  0.000  0.500  0.500  -0.01
Er  0.000  0.000  0.500  0.08
Te  0.500  0.000  0.500  -0.01
Ce  0.500  0.500  0.678  1.37
Nd  0.000  0.000  0.000  0.03
Ce  0.500  0.500  0.322  1.37
Te  0.500  0.500  0.000  -0.01
Te  0.000  0.000  0.250  -0.01

Calculated values
Total energy ... -4.9638 eV/atom
Density of states at the Fermi level ... 19.8 states/eV/f.u.

Record 3
DFT (PBE) results for a geometry-optimized Ce3NdEr2Te6 structure.

Lattice parameters (Å, degrees): 7.635 7.635 7.763 99.43 99.43 120.04
Each line ends with the local moment (μB).
Fractional positions:
Ce  0.160  0.840  0.500  0.99
Er  0.668  0.332  0.000  -0.01
Te  0.919  0.576  0.757  -0.01
Te  0.265  0.265  0.764  -0.01
Ce  0.840  0.160  0.500  0.99
Nd  0.000  0.000  0.000  -0.02
Te  0.081  0.424  0.243  -0.01
Te  0.576  0.919  0.757  -0.01
Te  0.424  0.081  0.243  -0.01
Te  0.735  0.735  0.236  -0.01
Ce  0.500  0.500  0.500  0.98
Er  0.332  0.668  0.000  -0.01

Calculated values
Total energy ... -5.5481 eV/atom
Density of states at the Fermi level ... 22.9 states/eV/f.u.

Record 4
DFT (PBE) results for a geometry-optimized CeNd2Er3Te6 structure.

Lattice parameters (Å, degrees): 4.347 8.952 9.931 104.94 102.64 90.00
Each line ends with the local moment (μB).
Fractional positions:
Te  0.004  0.742  0.008  -0.01
Te  0.663  0.593  0.327  0.00
Te  0.670  0.075  0.339  0.00
Er  0.168  0.835  0.336  0.01
Te  0.337  0.407  0.673  0.00
Nd  0.166  0.333  0.333  0.02
Te  0.996  0.258  0.992  -0.01
Er  0.500  0.500  0.000  0.00
Nd  0.834  0.667  0.667  0.02
Er  0.832  0.165  0.664  0.01
Ce  0.500  0.000  0.000  1.02
Te  0.330  0.925  0.661  0.00

Calculated values
Total energy ... -5.3188 eV/atom
Density of states at the Fermi level ... 11.9 states/eV/f.u.

Record 5
DFT (PBE) results for a geometry-optimized Ce2NdEr3Te6 structure.

Lattice parameters (Å, degrees): 4.348 8.939 9.921 104.84 102.66 90.00
Each line ends with the local moment (μB).
Fractional positions:
Er  0.835  0.168  0.669  0.00
Te  0.330  0.925  0.659  -0.01
Te  0.663  0.591  0.327  -0.01
Ce  0.833  0.666  0.666  1.02
Nd  0.500  0.000  0.000  0.04
Te  0.337  0.409  0.673  -0.01
Te  0.003  0.741  0.005  0.00
Er  0.500  0.500  0.000  0.01
Er  0.165  0.832  0.331  0.00
Ce  0.167  0.334  0.334  1.02
Te  0.670  0.075  0.341  -0.01
Te  0.997  0.259  0.995  0.00

Calculated values
Total energy ... -5.4105 eV/atom
Density of states at the Fermi level ... 16.8 states/eV/f.u.

Record 6
DFT (PBE) results for a geometry-optimized Ce3Nd4ErTe8 structure.

Lattice parameters (Å, degrees): 8.933 8.963 8.932 119.89 120.00 90.00
Each line ends with the local moment (μB).
Fractional positions:
Te  0.245  0.744  0.490  -0.01
Te  0.755  0.744  0.999  -0.01
Ce  0.500  0.500  0.000  0.93
Te  0.750  0.749  0.499  -0.01
Er  0.000  0.500  0.000  0.03
Nd  0.000  0.000  0.500  0.01
Nd  0.000  0.000  0.000  0.01
Ce  0.000  0.500  0.500  0.93
Nd  0.500  0.000  0.500  0.01
Te  0.755  0.256  0.510  -0.01
Ce  0.500  0.500  0.500  0.93
Te  0.245  0.256  0.001  -0.01
Te  0.755  0.256  0.001  -0.01
Nd  0.500  0.000  0.000  0.04
Te  0.245  0.744  0.999  -0.01
Te  0.250  0.251  0.501  -0.01

Calculated values
Total energy ... -5.5400 eV/atom
Density of states at the Fermi level ... 26.2 states/eV/f.u.

Record 7
DFT (PBE) results for a geometry-optimized CeNd4Er3Te8 structure.

Lattice parameters (Å, degrees): 8.797 8.930 8.798 119.51 120.00 90.00
Each line ends with the local moment (μB).
Fractional positions:
Nd  0.500  0.000  0.500  0.01
Te  0.740  0.739  0.990  0.00
Te  0.249  0.739  0.499  0.00
Er  0.500  0.500  0.000  0.01
Te  0.255  0.266  0.510  0.00
Ce  0.000  0.500  0.000  0.82
Nd  0.000  0.000  0.500  0.01
Te  0.751  0.261  0.501  0.00
Nd  0.000  0.000  0.000  0.01
Er  0.000  0.500  0.500  0.01
Te  0.260  0.261  0.010  0.00
Te  0.751  0.261  0.010  0.00
Te  0.745  0.734  0.490  0.00
Er  0.500  0.500  0.500  0.01
Nd  0.500  0.000  0.000  -0.01
Te  0.249  0.739  0.990  0.00

Calculated values
Total energy ... -5.3284 eV/atom
Density of states at the Fermi level ... 15.8 states/eV/f.u.

Record 8
DFT (PBE) results for a geometry-optimized Ce3Nd2ErTe6 structure.

Lattice parameters (Å, degrees): 4.432 9.007 10.006 103.47 102.79 90.00
Each line ends with the local moment (μB).
Fractional positions:
Nd  0.168  0.335  0.335  0.01
Te  0.666  0.584  0.332  -0.01
Te  0.334  0.416  0.668  -0.01
Te  0.662  0.081  0.323  -0.01
Te  0.001  0.761  0.003  -0.01
Nd  0.832  0.665  0.665  0.01
Te  0.999  0.239  0.997  -0.01
Ce  0.830  0.165  0.660  0.99
Ce  0.170  0.835  0.340  0.99
Ce  0.500  0.500  0.000  1.03
Te  0.338  0.919  0.677  -0.01
Er  0.500  0.000  0.000  0.01

Calculated values
Total energy ... -5.5975 eV/atom
Density of states at the Fermi level ... 23.1 states/eV/f.u.

Record 9
DFT (PBE) results for a geometry-optimized CeNdEr2Tl4 structure.

Lattice parameters (Å, degrees): 5.425 5.425 9.420 73.26 73.26 60.00
Each line ends with the local moment (μB).
Fractional positions:
Tl  0.875  0.875  0.375  0.01
Tl  0.375  0.375  0.874  0.00
Tl  0.625  0.625  0.126  0.00
Nd  0.000  0.000  0.000  0.00
Er  0.750  0.750  0.750  0.02
Tl  0.125  0.125  0.625  0.01
Ce  0.500  0.500  0.500  0.84
Er  0.250  0.250  0.250  0.02

Calculated values
Total energy ... -3.9692 eV/atom
Density of states at the Fermi level ... 11.9 states/eV/f.u.

Record 10
DFT (PBE) results for a geometry-optimized CeNd2ErTl4 structure.

Lattice parameters (Å, degrees): 5.471 5.471 9.542 73.34 73.34 60.00
Each line ends with the local moment (μB).
Fractional positions:
Tl  0.876  0.876  0.371  0.01
Er  0.000  0.000  0.000  0.00
Tl  0.626  0.626  0.122  0.00
Tl  0.374  0.374  0.878  0.00
Tl  0.124  0.124  0.629  0.01
Ce  0.500  0.500  0.500  0.87
Nd  0.748  0.748  0.755  0.02
Nd  0.252  0.252  0.245  0.02

Calculated values
Total energy ... -4.0010 eV/atom
Density of states at the Fermi level ... 13.4 states/eV/f.u.

Record 11
DFT (PBE) results for a geometry-optimized Ce2NdErTl4 structure.

Lattice parameters (Å, degrees): 5.471 5.471 9.506 73.28 73.28 60.00
Each line ends with the local moment (μB).
Fractional positions:
Tl  0.126  0.126  0.621  0.01
Tl  0.377  0.377  0.870  0.01
Nd  0.000  0.000  0.000  0.06
Tl  0.874  0.874  0.379  0.01
Ce  0.249  0.249  0.253  0.86
Er  0.500  0.500  0.500  0.05
Ce  0.751  0.751  0.747  0.86
Tl  0.623  0.623  0.130  0.01

Calculated values
Total energy ... -4.1107 eV/atom
Density of states at the Fermi level ... 18.7 states/eV/f.u.

Record 12
DFT (PBE) results for a geometry-optimized CeNdEr2Tm structure.

Lattice parameters (Å, degrees): 7.225 7.696 5.824 90.00 90.00 90.00
Each line ends with the local moment (μB).
Fractional positions:
Er  0.325  0.710  0.250  0.06
Tm  0.385  0.000  0.750  0.11
Nd  0.164  0.500  0.750  0.00
Er  0.675  0.710  0.750  0.06
Ce  0.000  0.000  0.500  1.01
Er  0.325  0.290  0.250  0.06
Nd  0.836  0.500  0.250  0.00
Ce  0.000  0.000  0.000  1.01
Er  0.675  0.290  0.750  0.06
Tm  0.615  0.000  0.250  0.11

Calculated values
Total energy ... -4.5722 eV/atom
Density of states at the Fermi level ... 9.5 states/eV/f.u.

no.,mass density (g/cm³)
1,7.2
2,5.8
3,7.5
4,7.7
5,7.7
6,7.2
7,7.6
8,7.2
9,10.5
10,10.1
11,10.1
12,8.1